## Na4Li5B3O9 (GGA-PBEsol)

Data for a relaxed structure of Na4Li5B3O9.

a b c (Å): 7.194 7.194 9.744
angles (deg): 75.00 75.00 61.06
Positions (direct):
Na 0.120 0.636 0.516
Na 0.777 0.666 0.215
Na 0.334 0.223 0.285
Na 0.364 0.880 0.984
Na 0.666 0.777 0.715
Na 0.223 0.334 0.785
Na 0.636 0.120 0.016
Na 0.880 0.364 0.484
Li 0.986 0.923 0.140
Li 0.724 0.276 0.250
Li 0.296 0.518 0.011
Li 0.077 0.014 0.360
Li 0.482 0.704 0.489
Li 0.276 0.724 0.750
Li 0.923 0.986 0.640
Li 0.518 0.296 0.511
Li 0.704 0.482 0.989
Li 0.014 0.077 0.860
B 0.396 0.604 0.250
B 0.604 0.396 0.750
B 0.748 0.917 0.404
B 0.917 0.748 0.904
B 0.083 0.252 0.096
B 0.252 0.083 0.596
O 0.208 0.967 0.524
O 0.033 0.792 0.976
O 0.469 0.476 0.144
O 0.000 0.709 0.762
O 0.792 0.033 0.476
O 0.709 0.000 0.262
O 0.250 0.278 0.529
O 0.722 0.750 0.971
O 0.208 0.792 0.250
O 0.524 0.531 0.356
O 0.967 0.208 0.024
O 0.476 0.469 0.644
O 0.531 0.524 0.856
O 0.792 0.208 0.750
O 0.000 0.291 0.238
O 0.291 0.000 0.738
O 0.278 0.250 0.029
O 0.750 0.722 0.471

Summary:
* magnetic moment: 0.000 μB per cell
* formation energy without anion corrections: -2.15 eV per atom

***

## YTlSiHg2 (GGA-PBEsol)

Data for a relaxed structure of YTlSiHg2.

a b c (Å): 4.988 4.988 5.109
angles (deg): 90.00 90.00 90.00
Positions (direct):
Y 0.500 0.500 0.500
Tl 0.000 0.000 0.500
Si 0.000 0.000 0.000
Hg 0.000 0.500 0.000
Hg 0.500 0.000 0.000

Summary:
* magnetic moment: 0.000 μB per cell
* formation energy without anion corrections: 0.20 eV per atom

***

## NaMgNb2Se (GGA-PBEsol)

Data for a relaxed structure of NaMgNb2Se.

a b c (Å): 4.793 4.793 5.048
angles (deg): 90.00 90.00 90.00
Positions (direct):
Na 0.000 0.000 0.500
Nb 0.000 0.500 0.000
Nb 0.500 0.000 0.000
Mg 0.500 0.500 0.500
Se 0.000 0.000 0.000

Summary:
* magnetic moment: 0.000 μB per cell
* formation energy without anion corrections: 0.51 eV per atom

***

## SnMo2C (GGA-PBEsol)

Data for a relaxed structure of SnMo2C.

a b c (Å): 4.325 4.325 4.325
angles (deg): 60.00 60.00 60.00
Positions (direct):
C 0.000 0.000 0.000
Mo 0.250 0.250 0.250
Mo 0.750 0.750 0.750
Sn 0.500 0.500 0.500

Summary:
* magnetic moment: 0.001 μB per cell
* energy relative to the elements: 1.293 eV/atom